# BeZnCd2

Crystalline BeZnCd2 at its relaxed geometry (PBE, the Alexandria database).

Summary:
Energy relative to the elements: 0.346 eV per atom
Crystal system: tetragonal
Polymorph energy (0 for the lowest one): 133 meV/atom
Calculated total energy: -1.36 eV per atom

Cell lengths 5.058, 5.058, 5.058 Å; angles 132.77, 132.77, 69.02 degrees
Atoms (fractional coordinates):
Be1 0.000 0.000 0.000
Zn1 0.750 0.250 0.500
Cd1 0.250 0.750 0.500
Cd2 0.500 0.500 0.000